# 1
First-principles (PBE) data for an optimized crystal structure of ScMnBe10, as listed in Alexandria.

a b c (Å): 3.470 4.384 7.542
angles (deg): 90.00 90.00 90.00
Sites, in units of the cell vectors:
Be1 0.500 0.500 0.000
Be2 0.000 0.000 0.683
Be3 0.500 0.755 0.763
Be4 0.000 0.500 0.152
Be5 0.000 0.500 0.848
Be6 0.500 0.000 0.500
Be7 0.500 0.245 0.237
Be8 0.500 0.755 0.237
Be9 0.000 0.000 0.317
Be10 0.500 0.245 0.763
Sc1 0.000 0.500 0.500
Mn1 0.000 0.000 0.000

Values from the calculation:
Space group = No. 47
Total moment = 2.56 μB per cell
Density of states at the Fermi level = 0.2468 states/eV/atom
E_form = -0.117 eV per atom
Calculated density = 2.750 g/cm3



# 2
First-principles (PBE) data for an optimized crystal structure of KMn2Pt, as listed in Alexandria.

a b c (Å): 5.393 5.393 9.314
angles (deg): 73.17 73.17 90.00
Sites, in units of the cell vectors:
Mn1 0.875 0.125 0.250
Mn2 0.375 0.125 0.750
Mn3 0.875 0.125 0.750
Mn4 0.875 0.625 0.250
K1 0.500 0.500 0.000
K2 0.250 0.750 0.500
Pt1 0.750 0.250 0.500
Pt2 0.000 0.000 0.000

Values from the calculation:
Space group = No. 141
Total moment = 17.79 μB per cell
Density of states at the Fermi level = 0.6833 states/eV/atom
E_form = 0.597 eV per atom
Calculated density = 4.624 g/cm3



# 3
First-principles (PBE) data for an optimized crystal structure of Ba3Cu2SbS6, as listed in Alexandria.

a b c (Å): 7.348 7.348 7.868
angles (deg): 90.00 90.00 120.00
Sites, in units of the cell vectors:
Ba1 0.667 0.333 0.370
Ba2 0.000 0.000 0.000
Ba3 0.333 0.667 0.630
Cu1 0.667 0.333 0.771
Cu2 0.333 0.667 0.229
S1 0.331 0.165 0.702
S2 0.835 0.165 0.702
S3 0.669 0.835 0.298
S4 0.835 0.669 0.702
S5 0.165 0.835 0.298
S6 0.165 0.331 0.298
Sb1 0.000 0.000 0.500

Values from the calculation:
Space group = No. 164
Total moment = 0.00 μB per cell
Density of states at the Fermi level = 0.4424 states/eV/atom
ΔE_f (raw) = -0.9724 eV per atom
Calculated density = 3.851 g/cm3



# 4
First-principles (PBE) data for an optimized crystal structure of CaBeC, as listed in Alexandria.

a b c (Å): 3.248 3.250 8.539
angles (deg): 90.00 100.96 90.00
Sites, in units of the cell vectors:
C1 0.310 0.750 0.619
C2 0.690 0.250 0.381
Be1 0.750 0.750 0.500
Be2 0.250 0.250 0.500
Ca1 0.119 0.750 0.239
Ca2 0.881 0.250 0.761

Values from the calculation:
Space group = No. 63
Total moment = 0.00 μB per cell
Density of states at the Fermi level = 0.2659 states/eV/atom
E_form = -0.039 eV per atom
Calculated density = 2.293 g/cm3



# 5
First-principles (PBE) data for an optimized crystal structure of AcPdO2, as listed in Alexandria.

a b c (Å): 3.710 3.710 6.447
angles (deg): 73.28 73.28 60.00
Sites, in units of the cell vectors:
Ac1 0.000 0.000 0.000
O1 0.872 0.872 0.385
O2 0.128 0.128 0.615
Pd1 0.500 0.500 0.500

Values from the calculation:
Space group = No. 166
Total moment = 0.00 μB per cell
Density of states at the Fermi level = 0.7686 states/eV/atom
ΔE_f (raw) = -0.7883 eV per atom
Calculated density = 8.370 g/cm3



# 6
First-principles (PBE) data for an optimized crystal structure of HfMo2RuCl, as listed in Alexandria.

a b c (Å): 4.722 5.118 4.722
angles (deg): 90.00 90.00 90.00
Sites, in units of the cell vectors:
Hf1 0.000 0.500 0.000
Mo1 0.500 0.000 0.000
Mo2 0.000 0.000 0.500
Cl1 0.500 0.500 0.500
Ru1 0.000 0.000 0.000

Values from the calculation:
Space group = No. 123
Total moment = 1.75 μB per cell
Density of states at the Fermi level = 1.2793 states/eV/atom
ΔE_f (raw) = 1.2516 eV per atom
Calculated density = 7.374 g/cm3



# 7
First-principles (PBE) data for an optimized crystal structure of TaFeCo2, as listed in Alexandria.

a b c (Å): 4.911 4.784 2.641
angles (deg): 79.73 79.02 117.43
Sites, in units of the cell vectors:
Ta1 0.500 0.500 0.000
Co1 0.000 0.000 0.000
Co2 0.500 0.000 0.500
Fe1 0.000 0.500 0.500

Values from the calculation:
Space group = No. 12
Total moment = 4.15 μB per cell
Density of states at the Fermi level = 1.3100 states/eV/atom
E_form = 0.080 eV per atom
Calculated density = 11.440 g/cm3



# 8
First-principles (PBE) data for an optimized crystal structure of LaYTeSe, as listed in Alexandria.

a b c (Å): 4.204 4.205 7.945
angles (deg): 90.00 105.34 120.01
Sites, in units of the cell vectors:
Y1 0.489 0.143 0.648
La1 0.116 0.956 0.086
Te1 0.977 0.387 0.379
Se1 0.296 0.546 0.857

Values from the calculation:
Space group = No. 160
Total moment = 0.00 μB per cell
Density of states at the Fermi level = 0.2269 states/eV/atom
ΔE_f (raw) = -1.6651 eV per atom
Calculated density = 6.228 g/cm3